Th4SiC PBE relaxed; magnetization = 0.0 μB/f.u.; ΔE_f (raw) = -0.1157 eV per atom
1.0
-3.0068 -6.2493 3.2555
5.9812 3.1628 3.5938
-5.5411 5.2905 0.0244
Th Si C
8 2 2
Direct
0.1897 0.9756 0.2141
0.2757 0.9688 0.6932
0.7256 0.4397 0.7141
0.3325 0.5257 0.8068
0.2757 0.5825 0.3068
0.7188 0.5257 0.1932
0.7615 0.9756 0.7859
0.7256 0.0115 0.2859
0.9856 0.4856 0.5000
0.2356 0.2356 0.0000
0.7619 0.7619 0.0000
0.5119 0.0119 0.5000